A geometry-optimized EuGdScAl structure, computed with PBE.

## Properties
ΔH_f (0 K), kJ/mol of atoms: -3.3
Calculated volume, Å³/cell: 107.0
Energy, eV/atom: -8.641

Unit cell a=5.3294 b=5.3294 c=5.3294 alpha=60.00 beta=60.00 gamma=60.00
Last column: nearest neighbours and their distance in Å.
Fractional coordinates of all 4 atoms:
Eu (0.0000, 0.0000, 0.0000)  4 Al 3.26, 4 Sc 3.26
Gd (0.5000, 0.5000, 0.5000)  4 Sc 3.26, 4 Al 3.26
Sc (0.7500, 0.7500, 0.7500)  4 Gd 3.26, 4 Eu 3.26
Al (0.2500, 0.2500, 0.2500)  4 Gd 3.26, 4 Eu 3.26

---

A geometry-optimized EuGdAlSn structure, computed with PBE.

## Properties
ΔH_f (0 K), kJ/mol of atoms: -42.3
Calculated volume, Å³/cell: 107.8
Energy, eV/atom: -8.463

Unit cell a=5.3422 b=5.3422 c=5.3422 alpha=60.00 beta=60.00 gamma=60.00
Last column: nearest neighbours and their distance in Å.
Fractional coordinates of all 4 atoms:
Eu (0.0000, 0.0000, 0.0000)  4 Al 3.27, 4 Sn 3.27
Gd (0.5000, 0.5000, 0.5000)  4 Al 3.27, 4 Sn 3.27
Al (0.7500, 0.7500, 0.7500)  4 Gd 3.27, 4 Eu 3.27
Sn (0.2500, 0.2500, 0.2500)  4 Gd 3.27, 4 Eu 3.27

---

A geometry-optimized TbEuGdAl structure, computed with PBE.

## Properties
ΔH_f (0 K), kJ/mol of atoms: -3.8
Calculated volume, Å³/cell: 113.3
Energy, eV/atom: -8.222

Unit cell a=5.4308 b=5.4308 c=5.4308 alpha=60.00 beta=60.00 gamma=60.00
Last column: nearest neighbours and their distance in Å.
Fractional coordinates of all 4 atoms:
Tb (0.0000, 0.0000, 0.0000)  4 Al 3.33, 4 Eu 3.33
Eu (0.2500, 0.2500, 0.2500)  4 Gd 3.33, 4 Tb 3.33
Gd (0.5000, 0.5000, 0.5000)  4 Al 3.33, 4 Eu 3.33
Al (0.7500, 0.7500, 0.7500)  4 Gd 3.33, 4 Tb 3.33

---

A geometry-optimized EuAl2Ge structure, computed with PBE.

## Properties
Energy above the lowest structure with this stoichiometry, eV/atom: 0.749
ΔH_f (0 K), kJ/mol of atoms: 29.2
Calculated volume, Å³/cell: 122.3
Energy, eV/atom: -5.291

Unit cell a=9.1053 b=9.1053 c=9.1053 alpha=25.41 beta=25.41 gamma=25.41
Last column: nearest neighbours and their distance in Å.
Fractional coordinates of all 4 atoms:
Eu (0.0000, 0.0000, 0.0000)  2 Al 3.23
Al (0.1224, 0.1224, 0.1224)  3 Ge 2.59
Al (0.8776, 0.8776, 0.8776)  3 Ge 2.59
Ge (0.5000, 0.5000, 0.5000)  6 Al 2.59

---

A geometry-optimized EuAlGe2 structure, computed with PBE.

## Properties
ΔH_f (0 K), kJ/mol of atoms: -31.1
Calculated volume, Å³/cell: 82.4
Energy, eV/atom: -6.135

Unit cell a=4.4542 b=4.4542 c=4.1530 alpha=90.00 beta=90.00 gamma=90.00
Last column: nearest neighbours and their distance in Å.
Fractional coordinates of all 4 atoms:
Eu (0.0000, 0.0000, 0.0000)  8 Ge 3.04, 4 Al 3.15
Al (0.5000, 0.5000, 0.0000)  8 Ge 3.04, 4 Eu 3.15
Ge (0.0000, 0.5000, 0.5000)  4 Al 3.04, 4 Eu 3.04, 4 Ge 3.15
Ge (0.5000, 0.0000, 0.5000)  4 Al 3.04, 4 Eu 3.04, 4 Ge 3.15

---

A geometry-optimized EuAlGe structure, computed with PBE.

## Properties
ΔH_f (0 K), kJ/mol of atoms: -52.1
Calculated volume, Å³/cell: 141.0
Energy, eV/atom: -6.752

Unit cell a=8.0692 b=8.0692 c=8.0692 alpha=148.74 beta=148.74 gamma=44.79
Last column: nearest neighbours and their distance in Å.
Fractional coordinates of all 6 atoms:
Eu (0.0000, 0.0000, 0.0000)  6 Ge 3.30-3.32, 6 Al 3.31
Eu (0.7500, 0.2500, 0.5000)  6 Ge 3.30-3.32, 6 Al 3.31
Al (0.1674, 0.6674, 0.5000)  3 Ge 2.48-2.51
Al (0.4174, 0.4174, 0.0000)  3 Ge 2.48-2.51
Ge (0.3335, 0.8335, 0.5000)  3 Al 2.48-2.51
Ge (0.5835, 0.5835, 0.0000)  3 Al 2.48-2.51

---

A geometry-optimized EuAl2Ge structure, computed with PBE.

## Properties
Energy above the lowest structure with this stoichiometry, eV/atom: 0.000
ΔH_f (0 K), kJ/mol of atoms: -43.0
Calculated volume, Å³/cell: 348.9
Energy, eV/atom: -6.040

Unit cell a=7.2528 b=4.2792 c=11.2415 alpha=90.00 beta=90.00 gamma=90.00
Last column: nearest neighbours and their distance in Å.
Fractional coordinates of all 16 atoms:
Eu (0.1478, 0.2500, 0.1413)  3 Ge 3.14-3.15, 7 Al 3.20-3.45
Eu (0.3522, 0.7500, 0.6413)  3 Ge 3.14-3.15, 7 Al 3.20-3.45
Eu (0.6478, 0.2500, 0.3587)  3 Ge 3.14-3.15, 7 Al 3.20-3.45
Eu (0.8522, 0.7500, 0.8587)  3 Ge 3.14-3.15, 7 Al 3.20-3.45
Al (0.0259, 0.2500, 0.6579)  2 Ge 2.51-2.60, 3 Al 2.62-2.72
Al (0.1505, 0.2500, 0.4387)  3 Al 2.62-2.72, 2 Ge 2.65
Al (0.3495, 0.7500, 0.9387)  3 Al 2.62-2.72, 2 Ge 2.65
Al (0.4741, 0.7500, 0.1579)  2 Ge 2.51-2.60, 3 Al 2.62-2.72
Al (0.5259, 0.2500, 0.8421)  2 Ge 2.51-2.60, 3 Al 2.62-2.72
Al (0.6505, 0.2500, 0.0613)  3 Al 2.62-2.72, 2 Ge 2.65
Al (0.8495, 0.7500, 0.5613)  3 Al 2.62-2.72, 2 Ge 2.65
Al (0.9741, 0.7500, 0.3421)  2 Ge 2.51-2.60, 3 Al 2.62-2.72
Ge (0.1691, 0.2500, 0.8615)  4 Al 2.51-2.65
Ge (0.3309, 0.7500, 0.3615)  4 Al 2.51-2.65
Ge (0.6691, 0.2500, 0.6385)  4 Al 2.51-2.65
Ge (0.8309, 0.7500, 0.1385)  4 Al 2.51-2.65

---

A geometry-optimized EuAlGe2 structure, computed with PBE.

## Properties
ΔH_f (0 K), kJ/mol of atoms: -32.4
Calculated volume, Å³/cell: 88.6
Energy, eV/atom: -6.149

Unit cell a=5.8061 b=5.8061 c=5.8061 alpha=44.85 beta=44.85 gamma=44.85
Last column: nearest neighbours and their distance in Å.
Fractional coordinates of all 4 atoms:
Eu (0.0000, 0.0000, 0.0000)  8 Ge 3.15-3.38
Al (0.5000, 0.5000, 0.5000)  6 Ge 2.67
Ge (0.2163, 0.2163, 0.2163)  3 Al 2.67, 3 Ge 2.99
Ge (0.7837, 0.7837, 0.7837)  3 Al 2.67, 3 Ge 2.99